# NbTeHPdICl

Crystalline NbTeHPdICl at its relaxed geometry (PBE-GGA, the Alexandria database).

## Properties
**Offset from the most stable computed form**: 65 meV/atom
**Mass density**: 5.36 g cm⁻³

Cell and atoms, written as CIF:
```
data_NbTeHPdICl
_chemical_formula_sum 'Nb1 Te1 H1 Pd1 I1 Cl1'
_cell_length_a 5.873
_cell_length_b 3.544
_cell_length_c 7.688
_cell_angle_alpha 90.00
_cell_angle_beta 108.34
_cell_angle_gamma 90.00
_space_group_name_H-M_alt 'P 1'
_space_group_IT_number 1
_space_group_name_Hall 'P 1'
loop_
_atom_site_label
_atom_site_type_symbol
_atom_site_fract_x
_atom_site_fract_y
_atom_site_fract_z
Nb1 Nb 0.000 0.000 0.000
Te1 Te 0.910 0.500 0.260
H1 H 0.322 0.000 0.168
Pd1 Pd 0.575 0.000 0.085
I1 I 0.597 0.000 0.691
Cl1 Cl 0.149 0.500 0.835
```

---

# Ca3TcB

Crystalline Ca3TcB at its relaxed geometry (PBE-GGA, the Alexandria database).

## Properties
**ΔE_f**: 4.4 eV/f.u.
**Offset from the most stable computed form**: 0 meV/atom
**Mass density**: 2.76 g cm⁻³

Cell and atoms, written as CIF:
```
data_Ca3TcB
_chemical_formula_sum 'Ca3 Tc1 B1'
_cell_length_a 5.168
_cell_length_b 5.168
_cell_length_c 5.168
_cell_angle_alpha 90.00
_cell_angle_beta 90.00
_cell_angle_gamma 90.00
_space_group_name_H-M_alt 'P 1'
_space_group_IT_number 1
_space_group_name_Hall 'P 1'
loop_
_atom_site_label
_atom_site_type_symbol
_atom_site_fract_x
_atom_site_fract_y
_atom_site_fract_z
Ca1 Ca 0.000 0.000 0.500
Ca2 Ca 0.000 0.500 0.000
Ca3 Ca 0.500 0.000 0.000
Tc1 Tc 0.500 0.500 0.500
B1 B 0.000 0.000 0.000
```

---

# BaNbSn3

Crystalline BaNbSn3 at its relaxed geometry (PBE-GGA, the Alexandria database).

## Properties
**ΔE_f**: 9.3 eV/f.u.
**Offset from the most stable computed form**: 2094 meV/atom
**Mass density**: 4.72 g cm⁻³

Cell and atoms, written as CIF:
```
data_BaNbSn3
_chemical_formula_sum 'Ba1 Nb1 Sn3'
_cell_length_a 5.907
_cell_length_b 5.907
_cell_length_c 5.907
_cell_angle_alpha 90.00
_cell_angle_beta 90.00
_cell_angle_gamma 90.00
_space_group_name_H-M_alt 'P 1'
_space_group_IT_number 1
_space_group_name_Hall 'P 1'
loop_
_atom_site_label
_atom_site_type_symbol
_atom_site_fract_x
_atom_site_fract_y
_atom_site_fract_z
Ba1 Ba 0.000 0.000 0.000
Nb1 Nb 0.500 0.500 0.500
Sn1 Sn 0.000 0.000 0.500
Sn2 Sn 0.000 0.500 0.000
Sn3 Sn 0.500 0.000 0.000
```

---

# ErZrCoAg

Crystalline ErZrCoAg at its relaxed geometry (PBE-GGA, the Alexandria database).

## Properties
**ΔE_f**: -0.4 eV/f.u.
**Mass density**: 9.03 g cm⁻³

Cell and atoms, written as CIF:
```
data_ErZrCoAg
_chemical_formula_sum 'Er4 Zr4 Co4 Ag4'
_cell_length_a 6.789
_cell_length_b 6.789
_cell_length_c 6.789
_cell_angle_alpha 90.00
_cell_angle_beta 90.00
_cell_angle_gamma 90.00
_space_group_name_H-M_alt 'P 1'
_space_group_IT_number 1
_space_group_name_Hall 'P 1'
loop_
_atom_site_label
_atom_site_type_symbol
_atom_site_fract_x
_atom_site_fract_y
_atom_site_fract_z
Er1 Er 0.000 0.000 0.000
Er2 Er 0.000 0.500 0.500
Er3 Er 0.500 0.000 0.500
Er4 Er 0.500 0.500 0.000
Zr1 Zr 0.000 0.000 0.500
Zr2 Zr 0.000 0.500 0.000
Zr3 Zr 0.500 0.000 0.000
Zr4 Zr 0.500 0.500 0.500
Co1 Co 0.250 0.250 0.750
Co2 Co 0.250 0.750 0.250
Co3 Co 0.750 0.250 0.250
Co4 Co 0.750 0.750 0.750
Ag1 Ag 0.250 0.250 0.250
Ag2 Ag 0.250 0.750 0.750
Ag3 Ag 0.750 0.250 0.750
Ag4 Ag 0.750 0.750 0.250
```

---

# Sc3BeFe

Crystalline Sc3BeFe at its relaxed geometry (PBE-GGA, the Alexandria database).

## Properties
**ΔE_f**: 1.8 eV/f.u.
**Offset from the most stable computed form**: 0 meV/atom
**Mass density**: 3.11 g cm⁻³

Cell and atoms, written as CIF:
```
data_Sc3BeFe
_chemical_formula_sum 'Sc3 Be1 Fe1'
_cell_length_a 4.744
_cell_length_b 4.744
_cell_length_c 4.744
_cell_angle_alpha 90.00
_cell_angle_beta 90.00
_cell_angle_gamma 90.00
_space_group_name_H-M_alt 'P 1'
_space_group_IT_number 1
_space_group_name_Hall 'P 1'
loop_
_atom_site_label
_atom_site_type_symbol
_atom_site_fract_x
_atom_site_fract_y
_atom_site_fract_z
Sc1 Sc 0.000 0.000 0.500
Sc2 Sc 0.000 0.500 0.000
Sc3 Sc 0.500 0.000 0.000
Be1 Be 0.500 0.500 0.500
Fe1 Fe 0.000 0.000 0.000
```

---

# Cd2CoCu

Crystalline Cd2CoCu at its relaxed geometry (PBE-GGA, the Alexandria database).

## Properties
**ΔE_f**: 0.9 eV/f.u.
**Offset from the most stable computed form**: 7 meV/atom
**Mass density**: 9.13 g cm⁻³

Cell and atoms, written as CIF:
```
data_Cd2CoCu
_chemical_formula_sum 'Cd2 Co1 Cu1'
_cell_length_a 4.385
_cell_length_b 4.385
_cell_length_c 3.285
_cell_angle_alpha 90.00
_cell_angle_beta 90.00
_cell_angle_gamma 90.00
_space_group_name_H-M_alt 'P 1'
_space_group_IT_number 1
_space_group_name_Hall 'P 1'
loop_
_atom_site_label
_atom_site_type_symbol
_atom_site_fract_x
_atom_site_fract_y
_atom_site_fract_z
Cd1 Cd 0.000 0.500 0.000
Cd2 Cd 0.500 0.000 0.000
Co1 Co 0.000 0.000 0.500
Cu1 Cu 0.500 0.500 0.500
```